The following is a GGA-PBE calculation of crystalline Gd2Sc at its relaxed geometry, from OQMD. Values from VASP.

Structure (Quantum ESPRESSO input):
```
&SYSTEM
  ibrav = 0, nat = 6, ntyp = 2
/
ATOMIC_SPECIES
Gd 157.25 Gd.upf
Sc 44.96 Sc.upf
CELL_PARAMETERS angstrom
0.000 4.508 4.508
4.508 0.000 4.508
4.508 4.508 0.000
ATOMIC_POSITIONS angstrom
Gd 0.000 0.000 0.000
Gd 2.254 2.254 0.000
Gd 2.254 0.000 2.254
Gd 0.000 2.254 2.254
Sc 3.381 3.381 3.381
Sc 5.635 5.635 5.635
```

Results
electronic total energy = -4.86 eV/atom
formation energy from the elements = 348 meV/atom
magnetic moment = 0.0 μB per formula unit